A plane-wave DFT calculation with PBEsol was carried out for an optimized crystal structure of InFeP2.

Computed properties:
crystal system	orthorhombic
ΔH_f (0 K)	0.3292	eV/atom

a = 3.6514 Å, b = 5.1768 Å, c = 7.1377 Å
α = 90.00°, β = 90.00°, γ = 90.00°
Last column: nearest neighbours and their distance in Å.
Space group Immm (No. 71)
Asymmetric unit:
In 0.0000 0.0000 0.0000 [2 per cell]  8 P 2.86-2.97, 4 Fe 3.17
Fe 0.0000 0.0000 0.5000 [2 per cell]  4 P 2.20
P 0.0000 0.5000 0.1711 [4 per cell]  2 Fe 2.20, 1 P 2.44

***

A plane-wave DFT calculation with PBEsol was carried out for an optimized crystal structure of TiNiGe.

Computed properties:
crystal system	orthorhombic
ΔH_f (0 K)	-0.7420	eV/atom

a = 6.1750 Å, b = 3.7014 Å, c = 7.0744 Å
α = 90.00°, β = 90.00°, γ = 90.00°
Last column: nearest neighbours and their distance in Å.
Space group Pnma (No. 62)
Asymmetric unit:
Ti 0.0260 0.2500 0.1866 [4 per cell]  5 Ge 2.59-2.66, 3 Ni 2.73-2.77
Ni 0.1384 0.2500 0.5593 [4 per cell]  4 Ge 2.34-2.40
Ge 0.2430 0.7500 0.3784 [4 per cell]  4 Ni 2.34-2.40, 3 Ti 2.59-2.61

***

A plane-wave DFT calculation with PBEsol was carried out for an optimized crystal structure of CdInAg2.

Computed properties:
crystal system	trigonal
ΔH_f (0 K)	-0.0060	eV/atom

a = 3.0611 Å, b = 3.0611 Å, c = 27.9080 Å
α = 90.00°, β = 90.00°, γ = 120.00°
Last column: nearest neighbours and their distance in Å.
Space group R-3m (No. 166, hexagonal axes)
Asymmetric unit:
Cd 0.0000 0.0000 0.0000 [3 per cell]  6 Ag 2.90, 6 Cd 3.06
In 0.0000 0.0000 0.5000 [3 per cell]  6 Ag 2.94, 6 In 3.06
Ag 0.0000 0.0000 0.2509 [6 per cell]  3 Cd 2.90, 3 In 2.94, 6 Ag 3.06

***

A plane-wave DFT calculation with PBEsol was carried out for an optimized crystal structure of Ta2CoTc.

Computed properties:
crystal system	trigonal
ΔH_f (0 K)	0.1141	eV/atom

a = 3.0151 Å, b = 3.0151 Å, c = 23.3609 Å
α = 90.00°, β = 90.00°, γ = 120.00°
Last column: nearest neighbours and their distance in Å.
Space group R-3m (No. 166, hexagonal axes)
Asymmetric unit:
Ta 0.0000 0.0000 0.2460 [6 per cell]  3 Co 2.54, 3 Tc 2.68
Co 0.0000 0.0000 0.5000 [3 per cell]  6 Ta 2.54
Tc 0.0000 0.0000 0.0000 [3 per cell]  6 Ta 2.68

***

A plane-wave DFT calculation with PBEsol was carried out for an optimized crystal structure of KScAl2.

Computed properties:
crystal system	orthorhombic
ΔH_f (0 K)	0.2147	eV/atom

a = 3.0055 Å, b = 5.5615 Å, c = 11.3212 Å
α = 90.00°, β = 90.00°, γ = 90.00°
Last column: nearest neighbours and their distance in Å.
Space group Imm2 (No. 44)
Asymmetric unit:
K 0.0000 0.0000 0.0000 [2 per cell]  2 K 3.01, 4 Al 3.18
Sc 0.0000 0.5000 0.8011 [2 per cell]  6 Al 2.96-3.26, 2 Sc 3.01
Al 0.0000 0.0000 0.5265 [2 per cell]  4 Al 2.74-3.01, 2 Sc 2.96
Al 0.0000 0.5000 0.2292 [2 per cell]  4 Al 2.74-3.01

***

A plane-wave DFT calculation with PBEsol was carried out for an optimized crystal structure of KHPd2.

Computed properties:
total DFT energy (no corrections)	-135.90	eV/cell
crystal system	cubic

a = 8.0991 Å, b = 8.0991 Å, c = 8.0991 Å
α = 90.00°, β = 90.00°, γ = 90.00°
Last column: nearest neighbours and their distance in Å.
Space group Fd-3m (No. 227, origin choice 2)
Asymmetric unit:
K 0.1250 0.1250 0.1250 [8 per cell]  12 Pd 3.36, 4 H 3.51, 4 K 3.51
H 0.1250 0.1250 0.6250 [8 per cell]  4 Pd 1.75
Pd 0.0000 0.0000 0.5000 [16 per cell]  2 H 1.75